First-principles (PBE) data for an optimized crystal structure of PmHoTeAs, as listed in Alexandria.

**E_tot**: -5.741 eV per atom
**Magnetic moment**: 0.00 μB/f.u.
**SG**: R3m (160)

```
PmHoTeAs
1.0
-2.351 0.473 -3.428
1.214 -3.822 1.193
-4.979 0.295 6.009
Pm Ho Te As
1 1 1 1
direct
0.113 0.955 0.083 Pm
0.492 0.144 0.651 Ho
0.973 0.385 0.373 Te
0.300 0.548 0.863 As
```